Density functional theory data (PBE) for a geometry-optimized LiTl2Sb structure.

* density: 7.90 g/cm3
* electronic total energy: -2.8326 eV per atom
* offset from the most stable computed form: 51 meV per atom

a b c (Å): 11.3295 4.9021 8.5968
angles (deg): 90.00 108.79 90.00
With the nearest neighbours (Å) after each atom.
Atoms (fractional coordinates):
1 Li 0.0000 0.0000 0.0000  2 Tl 2.78-3.00, 3 Sb 2.85-2.93, 2 Li 2.88
2 Li 0.0124 0.5000 0.1804  3 Sb 2.79-2.86, 2 Li 2.88, 1 Tl 3.13
3 Li 0.5000 0.5000 0.0000  2 Tl 2.78-3.00, 3 Sb 2.85-2.93, 2 Li 2.88
4 Li 0.5124 0.0000 0.1804  3 Sb 2.79-2.86, 2 Li 2.88, 1 Tl 3.13
5 Tl 0.0627 0.0000 0.7127  1 Li 2.78, 1 Sb 3.11
6 Tl 0.2187 0.5000 0.5689  6 Tl 3.38-3.71, 1 Li 3.41, 4 Sb 3.46-3.56
7 Tl 0.2368 0.5000 0.0076  2 Li 3.00-3.33
8 Tl 0.3222 0.0000 0.3752  1 Li 3.13, 3 Sb 3.32-3.46, 2 Tl 3.38
9 Tl 0.5627 0.5000 0.7127  1 Li 2.78, 1 Sb 3.11
10 Tl 0.7187 0.0000 0.5689  6 Tl 3.38-3.71, 1 Li 3.41, 4 Sb 3.46-3.56
11 Tl 0.7368 0.0000 0.0076  2 Li 3.00-3.33
12 Tl 0.8222 0.5000 0.3752  1 Li 3.13, 3 Sb 3.32-3.46, 2 Tl 3.38
13 Sb 0.0082 0.0000 0.3346  3 Li 2.79-2.85, 1 Tl 3.11
14 Sb 0.3835 0.0000 0.8343  3 Li 2.86-2.93
15 Sb 0.5082 0.5000 0.3346  3 Li 2.79-2.85, 1 Tl 3.11
16 Sb 0.8835 0.5000 0.8343  3 Li 2.86-2.93

=====

Density functional theory data (PBE) for a geometry-optimized LiTl2Sb structure.

* density: 7.97 g/cm3
* electronic total energy: -2.7954 eV per atom
* offset from the most stable computed form: 88 meV per atom

a b c (Å): 7.6517 7.6517 7.6517
angles (deg): 90.00 90.00 90.00
With the nearest neighbours (Å) after each atom.
Atoms (fractional coordinates):
1 Li 0.0000 0.0000 0.0000  8 Tl 3.31
2 Li 0.0000 0.5000 0.5000  8 Tl 3.31
3 Li 0.5000 0.0000 0.5000  8 Tl 3.31
4 Li 0.5000 0.5000 0.0000  8 Tl 3.31
5 Tl 0.2500 0.2500 0.2500  4 Li 3.31, 4 Sb 3.31
6 Tl 0.2500 0.2500 0.7500  4 Li 3.31, 4 Sb 3.31
7 Tl 0.2500 0.7500 0.2500  4 Li 3.31, 4 Sb 3.31
8 Tl 0.2500 0.7500 0.7500  4 Li 3.31, 4 Sb 3.31
9 Tl 0.7500 0.2500 0.2500  4 Li 3.31, 4 Sb 3.31
10 Tl 0.7500 0.2500 0.7500  4 Li 3.31, 4 Sb 3.31
11 Tl 0.7500 0.7500 0.2500  4 Li 3.31, 4 Sb 3.31
12 Tl 0.7500 0.7500 0.7500  4 Li 3.31, 4 Sb 3.31
13 Sb 0.0000 0.0000 0.5000  8 Tl 3.31
14 Sb 0.0000 0.5000 0.0000  8 Tl 3.31
15 Sb 0.5000 0.0000 0.0000  8 Tl 3.31
16 Sb 0.5000 0.5000 0.5000  8 Tl 3.31

=====

Density functional theory data (PBE) for a geometry-optimized LiTlSb2 structure.

* density: 6.97 g/cm3
* electronic total energy: -3.2427 eV per atom
* offset from the most stable computed form: 86 meV per atom

a b c (Å): 6.2089 10.3608 3.3705
angles (deg): 90.00 90.45 90.00
With the nearest neighbours (Å) after each atom.
Atoms (fractional coordinates):
1 Li 0.0000 0.0000 0.0000  2 Tl 3.10, 2 Li 3.37, 8 Sb 3.45-3.46
2 Li 0.5000 0.5000 0.0000  2 Tl 3.10, 2 Li 3.37, 8 Sb 3.45-3.46
3 Tl 0.0000 0.5000 0.0000  2 Li 3.10, 2 Tl 3.37, 8 Sb 3.45-3.46
4 Tl 0.5000 0.0000 0.0000  2 Li 3.10, 2 Tl 3.37, 8 Sb 3.45-3.46
5 Sb 0.2500 0.2500 0.5000  4 Sb 3.10-3.37, 4 Tl 3.45-3.46, 4 Li 3.45-3.46
6 Sb 0.2500 0.7500 0.5000  4 Sb 3.10-3.37, 4 Tl 3.45-3.46, 4 Li 3.45-3.46
7 Sb 0.7500 0.2500 0.5000  4 Sb 3.10-3.37, 4 Li 3.45-3.46, 4 Tl 3.45-3.46
8 Sb 0.7500 0.7500 0.5000  4 Sb 3.10-3.37, 4 Tl 3.45-3.46, 4 Li 3.45-3.46

=====

Density functional theory data (PBE) for a geometry-optimized LiTlSb2 structure.

* density: 6.95 g/cm3
* electronic total energy: -3.3287 eV per atom
* offset from the most stable computed form: 0 meV per atom

a b c (Å): 3.2838 4.5082 7.3374
angles (deg): 90.00 90.00 90.00
With the nearest neighbours (Å) after each atom.
Atoms (fractional coordinates):
1 Li 0.0000 0.0000 0.0000  8 Sb 3.14, 2 Li 3.28
2 Tl 0.0000 0.0000 0.5000  2 Tl 3.28, 8 Sb 3.57, 2 Li 3.67
3 Sb 0.5000 0.5000 0.1961  1 Sb 2.88, 4 Li 3.14
4 Sb 0.5000 0.5000 0.8039  1 Sb 2.88, 4 Li 3.14

=====

> Which of these has the lowest electronic total energy?

number 4